Entry 1:
The following is a PBE calculation of an optimized crystal structure of Sc2GeW, from Alexandria via LeMat-Bulk.

Output
- ΔE_f (eV/atom) = 0.357

Geometry as extended XYZ:
```
4
Lattice="1.768 0.000 10.168 -0.884 1.531 10.168 -0.884 -1.531 10.168" Properties=species:S:1:pos:R:3 pbc="T T T"
Ge 0.000 0.000 0.000
Sc 0.000 0.000 2.789
Sc 0.000 0.000 27.716
W 0.000 0.000 15.252
```

---

Entry 2:
The following is a PBE calculation of an optimized crystal structure of Sc3GeW, from Alexandria via LeMat-Bulk.

Output
- ΔE_f (eV/atom) = 0.631

Geometry as extended XYZ:
```
5
Lattice="5.032 0.000 0.000 0.000 5.032 0.000 0.000 0.000 5.032" Properties=species:S:1:pos:R:3 pbc="T T T"
Sc 0.000 0.000 2.516
W 0.000 0.000 0.000
Sc 2.516 0.000 0.000
Sc 0.000 2.516 0.000
Ge 2.516 2.516 2.516
```

---

Entry 3:
The following is a PBE calculation of an optimized crystal structure of Sc2Ge2W, from Alexandria via LeMat-Bulk.

Output
- ΔE_f (eV/atom) = -0.527

Geometry as extended XYZ:
```
10
Lattice="6.830 0.000 0.000 0.000 6.830 0.000 0.000 0.000 3.849" Properties=species:S:1:pos:R:3 pbc="T T T"
W 0.000 0.000 0.000
Sc 1.194 4.609 1.924
Sc 2.221 1.194 1.924
Sc 4.609 5.636 1.924
Ge 2.506 5.921 0.000
Sc 5.636 2.221 1.924
Ge 0.909 2.506 0.000
W 3.415 3.415 0.000
Ge 5.921 4.324 0.000
Ge 4.324 0.909 0.000
```

---

Entry 4:
The following is a PBE calculation of an optimized crystal structure of Sc3GeW, from Alexandria via LeMat-Bulk.

Output
- ΔE_f (eV/atom) = 0.757

Geometry as extended XYZ:
```
5
Lattice="-0.399 3.891 3.071 -3.744 -2.255 2.371 3.248 -2.122 3.110" Properties=species:S:1:pos:R:3 pbc="T T T"
Sc -0.199 1.945 1.536
W -0.447 -0.244 4.276
Ge 0.000 0.000 0.000
Sc 1.624 -1.061 1.555
Sc -1.872 -1.128 1.186
```

---

Entry 5:
The following is a PBE calculation of an optimized crystal structure of ScGe3W, from Alexandria via LeMat-Bulk.

Output
- ΔE_f (eV/atom) = 1.566

Geometry as extended XYZ:
```
5
Lattice="-4.205 -2.064 1.269 1.899 -4.386 -0.839 1.504 -0.230 4.608" Properties=species:S:1:pos:R:3 pbc="T T T"
Ge 0.752 -0.115 2.304
Ge 0.950 -2.193 -0.419
Sc 0.000 0.000 0.000
W -0.401 -3.340 2.519
Ge -2.102 -1.032 0.635
```

---

Entry 6:
The following is a PBE calculation of an optimized crystal structure of YSc2Ge2, from Alexandria via LeMat-Bulk.

Output
- ΔE_f (eV/atom) = -0.327

Geometry as extended XYZ:
```
5
Lattice="5.014 0.000 0.000 0.000 5.014 0.000 2.507 2.507 4.907" Properties=species:S:1:pos:R:3 pbc="T T T"
Ge 5.014 2.507 2.454
Ge 2.507 5.014 2.454
Sc 5.014 5.014 3.290
Sc 2.507 2.507 1.617
Y 0.000 0.000 0.000
```

---

Entry 7:
The following is a PBE calculation of an optimized crystal structure of Y2Sc2Ge, from Alexandria via LeMat-Bulk.

Output
- ΔE_f (eV/atom) = -0.193

Geometry as extended XYZ:
```
10
Lattice="-4.660 2.667 -4.981 -5.635 -2.674 3.839 -0.280 4.171 2.495" Properties=species:S:1:pos:R:3 pbc="T T T"
Sc -2.672 -0.542 0.606
Y -2.624 2.576 0.149
Y -4.582 0.747 2.987
Sc -3.863 1.333 -2.661
Sc -7.622 0.535 -1.748
Ge -5.147 -0.003 -0.571
Y -5.992 3.417 -1.634
Sc -6.432 -1.340 1.519
Y -7.951 1.588 1.203
Ge 0.000 0.000 0.000
```

---

Entry 8:
The following is a PBE calculation of an optimized crystal structure of YSc2Ge2, from Alexandria via LeMat-Bulk.

Output
- ΔE_f (eV/atom) = -0.509

Geometry as extended XYZ:
```
10
Lattice="-4.594 5.029 2.055 -4.740 -5.276 -0.560 3.844 -1.119 4.194" Properties=species:S:1:pos:R:3 pbc="T T T"
Sc -1.983 3.042 3.640
Ge -4.138 -2.483 3.896
Sc -0.093 0.237 5.167
Y -1.391 -1.672 1.084
Ge 0.537 -1.824 3.285
Ge -6.026 0.458 2.404
Sc -5.396 -1.604 0.522
Sc -3.506 -4.408 2.049
Ge -1.352 1.117 1.792
Y -4.098 0.306 4.604
```

---

no.,total DFT energy (no corrections) (eV per atom)
1,-7.2014
2,-6.6822
3,-7.4974
4,-6.5561
5,-5.0618
6,-5.9991
7,-6.2343
8,-6.1815